No. 1
DFT (SCAN) results for a PBEsol-optimized structure of RbAgSn3.

Summary:
crystal system	cubic
raw total energy	-2.2308	Ry per atom

Cell lengths 5.8516, 5.8516, 5.8516 Å; angles 90.00, 90.00, 90.00 degrees
Closest atoms and distances in Å follow each position.
Space group Pm-3m (No. 221)
One atom of each set of equivalent atoms:
Rb1 0.0000 0.0000 0.0000 x1  6 Sn 2.93
Ag1 0.5000 0.5000 0.5000 x1  12 Sn 4.14
Sn1 0.0000 0.0000 0.5000 x3  2 Rb 2.93


No. 2
DFT (SCAN) results for a PBEsol-optimized structure of RbAgSnW2.

Summary:
crystal system	tetragonal
raw total energy	-3.1559	Ry per atom

Cell lengths 4.9187, 4.9187, 5.5227 Å; angles 90.00, 90.00, 90.00 degrees
Closest atoms and distances in Å follow each position.
Space group P4/mmm (No. 123)
One atom of each set of equivalent atoms:
Rb1 0.0000 0.0000 0.0000 x1  2 Ag 2.76
Ag1 0.0000 0.0000 0.5000 x1  4 W 2.46
Sn1 0.5000 0.5000 0.0000 x1  4 Rb 3.48, 8 W 3.70
W1 0.0000 0.5000 0.5000 x2  2 Ag 2.46


No. 3
DFT (SCAN) results for a PBEsol-optimized structure of RbSr3Ag.

Summary:
crystal system	cubic
raw total energy	-1.7532	Ry per atom

Cell lengths 6.2888, 6.2888, 6.2888 Å; angles 90.00, 90.00, 90.00 degrees
Closest atoms and distances in Å follow each position.
Space group Pm-3m (No. 221)
One atom of each set of equivalent atoms:
Rb1 0.0000 0.0000 0.0000 x1  12 Sr 4.45
Sr1 0.0000 0.5000 0.5000 x3  2 Ag 3.14
Ag1 0.5000 0.5000 0.5000 x1  6 Sr 3.14


No. 4
DFT (SCAN) results for a PBEsol-optimized structure of RbTaAg2.

Summary:
crystal system	cubic
raw total energy	-2.6583	Ry per atom

Cell lengths 7.0962, 7.0962, 7.0962 Å; angles 90.00, 90.00, 90.00 degrees
Closest atoms and distances in Å follow each position.
Space group Fm-3m (No. 225)
One atom of each set of equivalent atoms:
Rb1 0.0000 0.0000 0.0000 x4  8 Ag 3.07
Ta1 0.0000 0.0000 0.5000 x4  8 Ag 3.07
Ag1 0.2500 0.2500 0.2500 x8  4 Ta 3.07, 4 Rb 3.07


No. 5
DFT (SCAN) results for a PBEsol-optimized structure of Rb3AgTe.

Summary:
energy relative to the elements, uncorrected	-366	meV per atom
crystal system	cubic
raw total energy	-1.9502	Ry per atom

Cell lengths 6.2295, 6.2295, 6.2295 Å; angles 90.00, 90.00, 90.00 degrees
Closest atoms and distances in Å follow each position.
Space group Pm-3m (No. 221)
One atom of each set of equivalent atoms:
Rb1 0.0000 0.0000 0.5000 x3  2 Ag 3.11
Ag1 0.0000 0.0000 0.0000 x1  6 Rb 3.11
Te1 0.5000 0.5000 0.5000 x1  12 Rb 4.40


No. 6
DFT (SCAN) results for a PBEsol-optimized structure of Rb2TlAg.

Summary:
crystal system	cubic
raw total energy	-2.6569	Ry per atom

Cell lengths 8.4793, 8.4793, 8.4793 Å; angles 90.00, 90.00, 90.00 degrees
Closest atoms and distances in Å follow each position.
Space group Fm-3m (No. 225)
One atom of each set of equivalent atoms:
Rb1 0.2500 0.2500 0.2500 x8  4 Tl 3.67, 4 Ag 3.67
Tl1 0.0000 0.0000 0.0000 x4  8 Rb 3.67
Ag1 0.0000 0.0000 0.5000 x4  8 Rb 3.67


No. 7
DFT (SCAN) results for a PBEsol-optimized structure of RbTl3Ag.

Summary:
crystal system	cubic
raw total energy	-3.8799	Ry per atom

Cell lengths 6.1023, 6.1023, 6.1023 Å; angles 90.00, 90.00, 90.00 degrees
Closest atoms and distances in Å follow each position.
Space group Pm-3m (No. 221)
One atom of each set of equivalent atoms:
Rb1 0.0000 0.0000 0.0000 x1  6 Tl 3.05
Tl1 0.0000 0.0000 0.5000 x3  2 Rb 3.05
Ag1 0.5000 0.5000 0.5000 x1  12 Tl 4.31


No. 8
DFT (SCAN) results for a PBEsol-optimized structure of RbYAg3.

Summary:
crystal system	cubic
raw total energy	-2.0159	Ry per atom

Cell lengths 5.3805, 5.3805, 5.3805 Å; angles 90.00, 90.00, 90.00 degrees
Closest atoms and distances in Å follow each position.
Space group Pm-3m (No. 221)
One atom of each set of equivalent atoms:
Rb1 0.0000 0.0000 0.0000 x1  6 Ag 2.69
Y1 0.5000 0.5000 0.5000 x1  12 Ag 3.80
Ag1 0.0000 0.0000 0.5000 x3  2 Rb 2.69


No. 9
DFT (SCAN) results for a PBEsol-optimized structure of Rb3ZrAg.

Summary:
crystal system	cubic
raw total energy	-1.7593	Ry per atom

Cell lengths 6.4735, 6.4735, 6.4735 Å; angles 90.00, 90.00, 90.00 degrees
Closest atoms and distances in Å follow each position.
Space group Pm-3m (No. 221)
One atom of each set of equivalent atoms:
Rb1 0.0000 0.0000 0.5000 x3  2 Ag 3.24
Zr1 0.5000 0.5000 0.5000 x1  12 Rb 4.58
Ag1 0.0000 0.0000 0.0000 x1  6 Rb 3.24


No. 10
DFT (SCAN) results for a PBEsol-optimized structure of ReAg2Rh.

Summary:
crystal system	monoclinic
raw total energy	-3.0503	Ry per atom

Cell lengths 8.9667, 2.7110, 5.0307 Å; angles 90.00, 98.07, 90.00 degrees
Closest atoms and distances in Å follow each position.
Space group Cm (No. 8)
One atom of each set of equivalent atoms:
Re1 0.0000 0.0000 0.0000 x2  3 Rh 2.58-2.62, 2 Re 2.71, 5 Ag 2.78-2.88
Ag1 0.0057 0.5000 0.5191 x2  5 Ag 2.61-2.74, 2 Re 2.78, 3 Rh 2.88
Ag2 0.2531 0.5000 0.2990 x2  5 Ag 2.61-2.74, 2 Rh 2.76, 3 Re 2.85-2.88
Rh1 0.2565 0.0000 0.8228 x2  3 Re 2.58-2.62, 2 Rh 2.71, 5 Ag 2.76-2.88


No. 11
DFT (SCAN) results for a PBEsol-optimized structure of ReAg2Rh.

Summary:
crystal system	orthorhombic
raw total energy	-3.0391	Ry per atom

Cell lengths 2.7436, 4.5997, 9.6923 Å; angles 90.00, 90.00, 90.00 degrees
Closest atoms and distances in Å follow each position.
Space group Immm (No. 71)
One atom of each set of equivalent atoms:
Re1 0.0000 0.0000 0.0000 x2  4 Rh 2.68, 2 Re 2.74, 4 Ag 2.80
Ag1 0.0000 0.5000 0.2485 x4  6 Ag 2.68-2.74, 2 Rh 2.77, 2 Re 2.80
Rh1 0.0000 0.0000 0.5000 x2  4 Re 2.68, 2 Rh 2.74, 4 Ag 2.77


No. 12
DFT (SCAN) results for a PBEsol-optimized structure of Re3AgRh.

Summary:
crystal system	cubic
raw total energy	-3.8423	Ry per atom

Cell lengths 4.5939, 4.5939, 4.5939 Å; angles 90.00, 90.00, 90.00 degrees
Closest atoms and distances in Å follow each position.
Space group Pm-3m (No. 221)
One atom of each set of equivalent atoms:
Re1 0.0000 0.0000 0.5000 x3  2 Ag 2.30
Ag1 0.0000 0.0000 0.0000 x1  6 Re 2.30
Rh1 0.5000 0.5000 0.5000 x1  12 Re 3.25


No. 13
DFT (SCAN) results for a PBEsol-optimized structure of Re2AgRh.

Summary:
crystal system	monoclinic
raw total energy	-3.7834	Ry per atom

Cell lengths 9.2912, 2.7205, 4.6999 Å; angles 90.00, 100.42, 90.00 degrees
Closest atoms and distances in Å follow each position.
Space group C2/m (No. 12)
One atom of each set of equivalent atoms:
Re1 0.2418 0.0000 0.2404 x4  6 Re 2.67-2.77, 3 Rh 2.69-2.83, 3 Ag 2.74-2.83
Ag1 0.0000 0.0000 0.5000 x2  4 Rh 2.72, 2 Ag 2.72, 6 Re 2.74-2.83
Rh1 0.0000 0.5000 0.0000 x2  6 Re 2.69-2.83, 4 Ag 2.72, 2 Rh 2.72


No. 14
DFT (SCAN) results for a PBEsol-optimized structure of ReAgRu.

Summary:
crystal system	orthorhombic
raw total energy	-3.3303	Ry per atom

Cell lengths 2.7647, 3.7827, 8.3755 Å; angles 90.00, 90.00, 90.00 degrees
Closest atoms and distances in Å follow each position.
Space group Imm2 (No. 44)
One atom of each set of equivalent atoms:
Re1 0.0000 0.0000 0.0000 x2  4 Ru 2.64, 5 Ag 2.70-2.78, 2 Re 2.76
Ag1 0.0000 0.0000 0.3220 x2  5 Re 2.70-2.78, 5 Ru 2.70-2.77, 2 Ag 2.76
Ru1 0.0000 0.0000 0.6445 x2  4 Re 2.64, 5 Ag 2.70-2.77, 2 Ru 2.76


No. 15
DFT (SCAN) results for a PBEsol-optimized structure of Re2AgRu.

Summary:
crystal system	tetragonal
raw total energy	-3.7845	Ry per atom

Cell lengths 3.8192, 3.8192, 3.9725 Å; angles 90.00, 90.00, 90.00 degrees
Closest atoms and distances in Å follow each position.
Space group P4/mmm (No. 123)
One atom of each set of equivalent atoms:
Re1 0.0000 0.5000 0.0000 x2  4 Re 2.70, 4 Ru 2.76, 4 Ag 2.76
Ag1 0.0000 0.0000 0.5000 x1  4 Ru 2.70, 8 Re 2.76
Ru1 0.5000 0.5000 0.5000 x1  4 Ag 2.70, 8 Re 2.76